Record 1
# DyBiBr

A relaxed structure of DyBiBr (GGA-PBE, Alexandria via LeMat-Bulk).

* ΔE to the lowest computed polymorph: 0.273 eV per atom
* total magnetization: 0.000 μB/f.u.
* formation energy from raw total energies: -235.3 kJ/mol of formula units
* D(E_F): 2.7 states/eV per cell
* electronic total energy: -12.595 eV/cell

Cell lengths 3.6931, 5.1345, 5.1345 Å; angles 120.00, 90.00, 90.00 degrees
Fractional positions:
Dy1 0.1668 0.0000 0.0000
Bi1 0.6666 0.6667 0.3333
Br1 0.1667 0.3333 0.6667

=====

Record 2
# Dy2BiBr2

A relaxed structure of Dy2BiBr2 (GGA-PBE, Alexandria via LeMat-Bulk).

* total magnetization: 0.000 μB/f.u.
* formation energy from raw total energies: -628.3 kJ/mol of formula units
* D(E_F): 2.0 states/eV per cell
* electronic total energy: -22.943 eV/cell

Cell lengths 4.2799, 4.2799, 11.1559 Å; angles 78.94, 78.94, 60.00 degrees
Fractional positions:
Dy1 0.3886 0.3886 0.8343
Br1 0.7736 0.7736 0.6791
Br2 0.2264 0.2264 0.3209
Bi1 0.0000 0.0000 0.0000
Dy2 0.6114 0.6114 0.1657

=====

Record 3
# DyBiBr

A relaxed structure of DyBiBr (GGA-PBE, Alexandria via LeMat-Bulk).

* ΔE to the lowest computed polymorph: 0.000 eV per atom
* total magnetization: 0.000 μB/f.u.
* formation energy from raw total energies: -314.2 kJ/mol of formula units
* D(E_F): 2.4 states/eV per cell
* electronic total energy: -26.825 eV/cell

Cell lengths 4.0580, 7.9632, 8.6221 Å; angles 54.69, 103.63, 75.24 degrees
Fractional positions:
Bi1 0.7509 0.7449 0.2471
Dy1 0.5479 0.3205 0.4164
Bi2 0.2491 0.2551 0.7529
Dy2 0.4521 0.6795 0.5836
Br1 0.0166 0.2086 0.2418
Br2 0.9834 0.7914 0.7582

=====

Record 4
# DyBi2BrO4

A relaxed structure of DyBi2BrO4 (GGA-PBE, Alexandria via LeMat-Bulk).

* total magnetization: 0.000 μB/f.u.
* formation energy from raw total energies: -1542.7 kJ/mol of formula units
* electronic total energy: -49.858 eV/cell

Cell lengths 3.9153, 3.9153, 9.3409 Å; angles 90.00, 90.00, 90.00 degrees
Fractional positions:
O1 0.5000 0.0000 0.1479
Br1 0.0000 0.0000 0.5000
O2 0.0000 0.5000 0.8521
Bi1 0.5000 0.5000 0.2680
Dy1 0.0000 0.0000 0.0000
O3 0.5000 0.0000 0.8521
O4 0.0000 0.5000 0.1479
Bi2 0.5000 0.5000 0.7320